Cd3Ag5Hg12 (PBE-GGA, optimized geometry); total moment = 0.0 Bohr magnetons per cell; volume = 29.95 A^3/atom; calculated total energy = -0.0314 hartree per atom
1.0
14.6010 0.0000 0.0000
-4.8670 13.7660 0.0000
-4.8670 -6.8830 11.9217
Cd Ag Hg
12 20 48
direct
0.7500 0.3750 0.1250 Cd
0.8750 0.7500 0.1250 Cd
0.3750 0.7500 0.6250 Cd
0.2500 0.1250 0.3750 Cd
0.8750 0.1250 0.2500 Cd
0.3750 0.6250 0.2500 Cd
0.6250 0.3750 0.7500 Cd
0.1250 0.8750 0.7500 Cd
0.7500 0.8750 0.6250 Cd
0.6250 0.2500 0.3750 Cd
0.1250 0.2500 0.8750 Cd
0.2500 0.6250 0.8750 Cd
0.1250 0.3750 0.2500 Ag
0.0000 0.5000 0.0000 Ag
0.0000 0.0000 0.0000 Ag
0.3750 0.2500 0.1250 Ag
0.5000 0.0000 0.5000 Ag
0.5000 0.5000 0.0000 Ag
0.1250 0.7500 0.3750 Ag
0.7500 0.1250 0.8750 Ag
0.7500 0.6250 0.3750 Ag
0.3750 0.1250 0.7500 Ag
0.6250 0.8750 0.2500 Ag
0.5000 0.5000 0.5000 Ag
0.5000 0.0000 0.0000 Ag
0.0000 0.0000 0.5000 Ag
0.2500 0.3750 0.6250 Ag
0.2500 0.8750 0.1250 Ag
0.0000 0.5000 0.5000 Ag
0.8750 0.2500 0.6250 Ag
0.6250 0.7500 0.8750 Ag
0.8750 0.6250 0.7500 Ag
0.7275 0.1350 0.0596 Hg
0.3321 0.5596 0.4246 Hg
0.9404 0.3650 0.2725 Hg
0.5596 0.2275 0.1350 Hg
0.5925 0.7275 0.6679 Hg
0.9404 0.5754 0.1679 Hg
0.3321 0.7725 0.4075 Hg
0.0754 0.9075 0.1350 Hg
0.5754 0.9404 0.6679 Hg
0.7275 0.5925 0.1679 Hg
0.7725 0.4404 0.3650 Hg
0.8321 0.9246 0.0596 Hg
0.1350 0.7275 0.5596 Hg
0.3650 0.4246 0.0925 Hg
0.0925 0.9246 0.3650 Hg
0.4075 0.1350 0.5754 Hg
0.0925 0.1679 0.2275 Hg
0.4404 0.6679 0.0754 Hg
0.8321 0.9075 0.2725 Hg
0.1350 0.4075 0.0754 Hg
0.3650 0.9404 0.7725 Hg
0.5754 0.6350 0.4075 Hg
0.9246 0.8321 0.5596 Hg
0.7725 0.3321 0.9075 Hg
0.4246 0.3650 0.5925 Hg
0.0754 0.1679 0.4404 Hg
0.2275 0.6679 0.0925 Hg
0.1679 0.0925 0.7275 Hg
0.6350 0.0596 0.2275 Hg
0.8650 0.5925 0.9246 Hg
0.5596 0.3321 0.9246 Hg
0.5925 0.8650 0.4246 Hg
0.9075 0.8321 0.7725 Hg
0.9075 0.0754 0.6350 Hg
0.8650 0.2725 0.4404 Hg
0.1679 0.0754 0.9404 Hg
0.6350 0.5754 0.9075 Hg
0.4246 0.0596 0.3321 Hg
0.2725 0.4075 0.8321 Hg
0.2275 0.5596 0.6350 Hg
0.9246 0.0925 0.8650 Hg
0.6679 0.2275 0.5925 Hg
0.4404 0.7725 0.8650 Hg
0.0596 0.4246 0.8321 Hg
0.4075 0.2725 0.3321 Hg
0.0596 0.6350 0.7275 Hg
0.6679 0.4404 0.5754 Hg
0.2725 0.8650 0.9404 Hg